[1]
Tb4Nd5Y2 PBE-GGA optimized geometry; energy of formation from the pure elements = 0.1397 eV/atom; total moment = 0.000 μB per atom; density of states at the Fermi level = 17.12 states/eV per cell
1.0
12.097 -1.752 0.000
12.097 1.752 0.000
-1.140 0.000 8.793
Tb Nd Y
4 5 2
direct
0.046 0.046 0.363
0.324 0.324 0.529
0.676 0.676 0.471
0.954 0.954 0.637
0.139 0.139 0.119
0.232 0.232 0.819
0.500 0.500 0.000
0.768 0.768 0.181
0.861 0.861 0.881
0.092 0.092 0.733
0.908 0.908 0.267

[2]
TbNd4Y2 PBE-GGA optimized geometry; energy of formation from the pure elements = 0.1987 eV/atom; total moment = 0.000 μB per atom; density of states at the Fermi level = 20.71 states/eV per cell
1.0
1.801 -11.061 0.000
1.801 11.061 0.000
0.000 0.000 12.357
Tb Nd Y
2 8 4
direct
0.105 0.895 0.750
0.895 0.105 0.250
0.000 0.000 0.000
0.000 0.000 0.500
0.238 0.762 0.122
0.238 0.762 0.378
0.438 0.562 0.750
0.562 0.438 0.250
0.762 0.238 0.622
0.762 0.238 0.878
0.373 0.627 0.010
0.373 0.627 0.490
0.627 0.373 0.510
0.627 0.373 0.990

Question: Which value of energy of formation from the pure elements does entry 2 give?
Answer: 0.1987 eV/atom

Please write out number 1 again, unchanged.
Tb4Nd5Y2 PBE-GGA optimized geometry; energy of formation from the pure elements = 0.1397 eV/atom; total moment = 0.000 μB per atom; density of states at the Fermi level = 17.12 states/eV per cell
1.0
12.097 -1.752 0.000
12.097 1.752 0.000
-1.140 0.000 8.793
Tb Nd Y
4 5 2
direct
0.046 0.046 0.363
0.324 0.324 0.529
0.676 0.676 0.471
0.954 0.954 0.637
0.139 0.139 0.119
0.232 0.232 0.819
0.500 0.500 0.000
0.768 0.768 0.181
0.861 0.861 0.881
0.092 0.092 0.733
0.908 0.908 0.267